# 1
# Sr2InPdO4 | Alexandria | PBE-GGA | optimized geometry
data_Sr2InPdO4
_chemical_formula_sum 'Sr4 In2 Pd2 O8'
_symmetry_space_group_name_H-M 'I -4'
_symmetry_Int_Tables_number 82
_cell_length_a 6.3280
_cell_length_b 6.3280
_cell_length_c 6.6381
_cell_angle_alpha 90.00
_cell_angle_beta 90.00
_cell_angle_gamma 90.00
loop_
_symmetry_equiv_pos_as_xyz
'x,y,z'
'y,-x,-z'
'-x,-y,z'
'-y,x,-z'
'x+1/2,y+1/2,z+1/2'
'y+1/2,-x+1/2,-z+1/2'
'-x+1/2,-y+1/2,z+1/2'
'-y+1/2,x+1/2,-z+1/2'
loop_
_atom_site_label
_atom_site_type_symbol
_atom_site_fract_x
_atom_site_fract_y
_atom_site_fract_z
Sr1 Sr 0.0000 0.0000 0.0000
Sr2 Sr 0.0000 0.5000 0.2500
In1 In 0.0000 0.5000 0.7500
Pd1 Pd 0.0000 0.0000 0.5000
O1 O 0.1718 0.3076 0.5470
# Formation energy (no corrections)   -1.675 eV per atom
# M_tot   1.98 μB per cell
# Calculated total energy   -5.57 eV/atom

***

# 2
# Mg2Cd17 | Alexandria | PBE-GGA | optimized geometry
data_Mg2Cd17
_chemical_formula_sum 'Mg6 Cd51'
_symmetry_space_group_name_H-M 'R -3 m'
_symmetry_Int_Tables_number 166
_symmetry_space_group_name_Hall '-R 3 2"'
_cell_length_a 9.8174
_cell_length_b 9.8174
_cell_length_c 16.4358
_cell_angle_alpha 90.00
_cell_angle_beta 90.00
_cell_angle_gamma 120.00
loop_
_atom_site_label
_atom_site_type_symbol
_atom_site_fract_x
_atom_site_fract_y
_atom_site_fract_z
Mg1 Mg 0.0000 0.0000 0.2008
Cd1 Cd 0.0000 0.0000 0.4048
Cd2 Cd 0.0000 0.3044 0.5000
Cd3 Cd 0.0000 0.5000 0.0000
Cd4 Cd 0.0199 0.5100 0.6358
# ΔE_f   1.12 eV per formula unit
# M_tot   0.00 μB per cell
# Calculated total energy   -0.93 eV/atom

***

M_tot of number 2 (Mg2Cd17)? 0.00 μB per cell

***

Which formula does entry 2 have? Mg2Cd17

***

Copy entry 2 word for word.
# Mg2Cd17 | Alexandria | PBE-GGA | optimized geometry
data_Mg2Cd17
_chemical_formula_sum 'Mg6 Cd51'
_symmetry_space_group_name_H-M 'R -3 m'
_symmetry_Int_Tables_number 166
_symmetry_space_group_name_Hall '-R 3 2"'
_cell_length_a 9.8174
_cell_length_b 9.8174
_cell_length_c 16.4358
_cell_angle_alpha 90.00
_cell_angle_beta 90.00
_cell_angle_gamma 120.00
loop_
_atom_site_label
_atom_site_type_symbol
_atom_site_fract_x
_atom_site_fract_y
_atom_site_fract_z
Mg1 Mg 0.0000 0.0000 0.2008
Cd1 Cd 0.0000 0.0000 0.4048
Cd2 Cd 0.0000 0.3044 0.5000
Cd3 Cd 0.0000 0.5000 0.0000
Cd4 Cd 0.0199 0.5100 0.6358
# ΔE_f   1.12 eV per formula unit
# M_tot   0.00 μB per cell
# Calculated total energy   -0.93 eV/atom